Record 1
First-principles (PBE-GGA) data for a relaxed structure of AlSiP, as listed in Alexandria.

a = 3.8840 Å, b = 3.9006 Å, c = 16.5437 Å
α = 90.00°, β = 90.00°, γ = 90.00°
Atoms (fractional coordinates):
Al  0.0000  0.0000  0.0000
Al  0.0000  0.0000  0.3338
Al  0.5000  0.5000  0.5000
Al  0.5000  0.5000  0.8338
Si  0.0000  0.0000  0.6671
Si  0.0000  0.5000  0.2465
Si  0.5000  0.0000  0.7465
Si  0.5000  0.5000  0.1671
P  0.0000  0.5000  0.5850
P  0.0000  0.5000  0.9192
P  0.5000  0.0000  0.0850
P  0.5000  0.0000  0.4192

Its density of states at the Fermi level is 1.40 states/eV per cell. The value obtained for the uncorrected formation energy is -0.27 eV per atom. The total energy comes out at -61.49 eV/cell. The value obtained for the energy relative to the lowest polymorph listed for this composition is 92.4 meV/atom. The calculated density is 2.28 g/cm³. As for the crystal system: orthorhombic. Its total magnetization is 0.000 μB per formula unit.

Record 2
First-principles (PBE-GGA) data for a relaxed structure of Al2SiP, as listed in Alexandria.

a = 2.7789 Å, b = 4.5256 Å, c = 5.1369 Å
α = 90.00°, β = 90.00°, γ = 90.00°
Atoms (fractional coordinates):
Al  0.0000  0.0000  0.0000
Al  0.5000  0.5000  0.5000
Si  0.0000  0.0000  0.5000
P  0.5000  0.5000  0.0000

Its density of states at the Fermi level is 0.90 states/eV per cell. The value obtained for the uncorrected formation energy is 0.01 eV per atom. The total energy comes out at -18.29 eV/cell. The value obtained for the energy relative to the lowest polymorph listed for this composition is 48.9 meV/atom. The calculated density is 2.91 g/cm³. As for the crystal system: orthorhombic. Its total magnetization is 0.000 μB per formula unit.

Record 3
First-principles (PBE-GGA) data for a relaxed structure of Al2SiP, as listed in Alexandria.

a = 3.0840 Å, b = 3.0840 Å, c = 6.5186 Å
α = 90.00°, β = 90.00°, γ = 90.00°
Atoms (fractional coordinates):
Al  0.0000  0.0000  0.0000
Al  0.5000  0.5000  0.2975
Si  0.5000  0.5000  0.7321
P  0.0000  0.0000  0.5385

Its density of states at the Fermi level is 0.81 states/eV per cell. The value obtained for the uncorrected formation energy is 0.17 eV per atom. The total energy comes out at -17.63 eV/cell. The value obtained for the energy relative to the lowest polymorph listed for this composition is 214.5 meV/atom. The calculated density is 3.03 g/cm³. As for the crystal system: tetragonal. Its total magnetization is 0.000 μB per formula unit.

Record 4
First-principles (PBE-GGA) data for a relaxed structure of AlSi4P, as listed in Alexandria.

a = 5.0699 Å, b = 5.0699 Å, c = 5.0699 Å
α = 60.00°, β = 60.00°, γ = 60.00°
Atoms (fractional coordinates):
Al  0.0000  0.0000  0.0000
Si  0.3752  0.3752  0.3752
Si  0.3752  0.3752  0.8744
Si  0.3752  0.8744  0.3752
Si  0.8744  0.3752  0.3752
P  0.7500  0.7500  0.7500

Its density of states at the Fermi level is 3.19 states/eV per cell. The value obtained for the uncorrected formation energy is 0.56 eV per atom. The total energy comes out at -27.49 eV/cell. The calculated density is 3.07 g/cm³. As for the crystal system: cubic. Its total magnetization is 0.000 μB per formula unit.

Record 5
First-principles (PBE-GGA) data for a relaxed structure of AlSiP, as listed in Alexandria.

a = 6.0083 Å, b = 6.0083 Å, c = 6.0083 Å
α = 90.00°, β = 90.00°, γ = 90.00°
Atoms (fractional coordinates):
Al  0.0000  0.0000  0.0000
Al  0.0000  0.5000  0.5000
Al  0.5000  0.0000  0.5000
Al  0.5000  0.5000  0.0000
Si  0.2500  0.2500  0.2500
Si  0.2500  0.7500  0.7500
Si  0.7500  0.2500  0.7500
Si  0.7500  0.7500  0.2500
P  0.2500  0.2500  0.7500
P  0.2500  0.7500  0.2500
P  0.7500  0.2500  0.2500
P  0.7500  0.7500  0.7500

Its density of states at the Fermi level is 5.26 states/eV per cell. The value obtained for the uncorrected formation energy is 0.34 eV per atom. The total energy comes out at -54.17 eV/cell. The value obtained for the energy relative to the lowest polymorph listed for this composition is 702.4 meV/atom. The calculated density is 2.63 g/cm³. As for the crystal system: cubic. Its total magnetization is 0.000 μB per formula unit.

Record 6
First-principles (PBE-GGA) data for a relaxed structure of AlSiP, as listed in Alexandria.

a = 6.6224 Å, b = 3.4280 Å, c = 9.3079 Å
α = 90.00°, β = 90.00°, γ = 90.00°
Atoms (fractional coordinates):
Al  0.0629  0.2500  0.1556
Al  0.4371  0.7500  0.6556
Al  0.5629  0.2500  0.3444
Al  0.9371  0.7500  0.8444
Si  0.2248  0.2500  0.4892
Si  0.2752  0.7500  0.9892
Si  0.7248  0.2500  0.0108
Si  0.7752  0.7500  0.5108
P  0.0592  0.7500  0.3527
P  0.4408  0.2500  0.8527
P  0.5592  0.7500  0.1473
P  0.9408  0.2500  0.6473

Its density of states at the Fermi level is 4.26 states/eV per cell. The value obtained for the uncorrected formation energy is 0.10 eV per atom. The total energy comes out at -57.12 eV/cell. The value obtained for the energy relative to the lowest polymorph listed for this composition is 456.2 meV/atom. The calculated density is 2.70 g/cm³. As for the crystal system: orthorhombic. Its total magnetization is 0.000 μB per formula unit.

Record 7
First-principles (PBE-GGA) data for a relaxed structure of AlSiP3, as listed in Alexandria.

a = 4.5104 Å, b = 4.5104 Å, c = 4.5104 Å
α = 90.00°, β = 90.00°, γ = 90.00°
Atoms (fractional coordinates):
Al  0.0000  0.0000  0.0000
Si  0.5000  0.5000  0.5000
P  0.0000  0.5000  0.5000
P  0.5000  0.0000  0.5000
P  0.5000  0.5000  0.0000

Its density of states at the Fermi level is 4.05 states/eV per cell. The value obtained for the uncorrected formation energy is 0.71 eV per atom. The total energy comes out at -21.87 eV/cell. The value obtained for the energy relative to the lowest polymorph listed for this composition is 1015.2 meV/atom. The calculated density is 2.68 g/cm³. As for the crystal system: cubic. Its total magnetization is 0.000 μB per formula unit.

Record 8
First-principles (PBE-GGA) data for a relaxed structure of AlSiP2, as listed in Alexandria.

a = 6.1756 Å, b = 6.1756 Å, c = 6.1756 Å
α = 90.00°, β = 90.00°, γ = 90.00°
Atoms (fractional coordinates):
Al  0.0000  0.0000  0.0000
Al  0.0000  0.5000  0.5000
Al  0.5000  0.0000  0.5000
Al  0.5000  0.5000  0.0000
Si  0.0000  0.0000  0.5000
Si  0.0000  0.5000  0.0000
Si  0.5000  0.0000  0.0000
Si  0.5000  0.5000  0.5000
P  0.2500  0.2500  0.2500
P  0.2500  0.2500  0.7500
P  0.2500  0.7500  0.2500
P  0.2500  0.7500  0.7500
P  0.7500  0.2500  0.2500
P  0.7500  0.2500  0.7500
P  0.7500  0.7500  0.2500
P  0.7500  0.7500  0.7500

Its density of states at the Fermi level is 10.70 states/eV per cell. The value obtained for the uncorrected formation energy is 0.35 eV per atom. The total energy comes out at -74.38 eV/cell. The value obtained for the energy relative to the lowest polymorph listed for this composition is 515.2 meV/atom. The calculated density is 3.30 g/cm³. As for the crystal system: cubic. Its total magnetization is 0.000 μB per formula unit.

Record 9
First-principles (PBE-GGA) data for a relaxed structure of AlSiP2, as listed in Alexandria.

a = 3.3948 Å, b = 3.9604 Å, c = 9.9535 Å
α = 90.00°, β = 90.00°, γ = 90.00°
Atoms (fractional coordinates):
Al  0.0000  0.0000  0.0000
Al  0.5000  0.5000  0.5000
Si  0.0000  0.0000  0.5000
Si  0.5000  0.5000  0.0000
P  0.0000  0.5000  0.1700
P  0.0000  0.5000  0.8300
P  0.5000  0.0000  0.3300
P  0.5000  0.0000  0.6700

Its density of states at the Fermi level is 4.30 states/eV per cell. The value obtained for the uncorrected formation energy is 0.27 eV per atom. The total energy comes out at -37.83 eV/cell. The value obtained for the energy relative to the lowest polymorph listed for this composition is 435.6 meV/atom. The calculated density is 2.90 g/cm³. As for the crystal system: orthorhombic. Its total magnetization is 0.000 μB per formula unit.

Record 10
First-principles (PBE-GGA) data for a relaxed structure of Al2SiP, as listed in Alexandria.

a = 5.7008 Å, b = 5.7008 Å, c = 10.9697 Å
α = 90.00°, β = 90.00°, γ = 90.00°
Atoms (fractional coordinates):
Al  0.2359  0.2500  0.1250
Al  0.2500  0.7359  0.3750
Al  0.2500  0.7641  0.8750
Al  0.2641  0.2500  0.6250
Al  0.7359  0.7500  0.6250
Al  0.7500  0.2359  0.8750
Al  0.7500  0.2641  0.3750
Al  0.7641  0.7500  0.1250
Si  0.0000  0.0000  0.5000
Si  0.0000  0.5000  0.7500
Si  0.5000  0.0000  0.2500
Si  0.5000  0.5000  0.0000
P  0.0000  0.0000  0.0000
P  0.0000  0.5000  0.2500
P  0.5000  0.0000  0.7500
P  0.5000  0.5000  0.5000

Its density of states at the Fermi level is 8.93 states/eV per cell. The value obtained for the uncorrected formation energy is -0.04 eV per atom. The total energy comes out at -73.95 eV/cell. The value obtained for the energy relative to the lowest polymorph listed for this composition is 0.0 meV/atom. The calculated density is 2.11 g/cm³. As for the crystal system: tetragonal. Its total magnetization is 0.000 μB per formula unit.

Record 11
First-principles (PBE-GGA) data for a relaxed structure of AlSiP2, as listed in Alexandria.

a = 3.5693 Å, b = 3.5693 Å, c = 19.4726 Å
α = 90.00°, β = 90.00°, γ = 120.00°
Atoms (fractional coordinates):
Al  0.0000  0.0000  0.0000
Al  0.3333  0.6667  0.6667
Al  0.6667  0.3333  0.3333
Si  0.0000  0.0000  0.7775
Si  0.3333  0.6667  0.4442
Si  0.6667  0.3333  0.1108
P  0.0000  0.0000  0.2757
P  0.0000  0.0000  0.5002
P  0.3333  0.6667  0.1669
P  0.3333  0.6667  0.9423
P  0.6667  0.3333  0.6090
P  0.6667  0.3333  0.8335

Its density of states at the Fermi level is 4.54 states/eV per cell. The value obtained for the uncorrected formation energy is 0.10 eV per atom. The total energy comes out at -58.71 eV/cell. The value obtained for the energy relative to the lowest polymorph listed for this composition is 271.5 meV/atom. The calculated density is 2.71 g/cm³. As for the crystal system: trigonal. Its total magnetization is 0.000 μB per formula unit.

Record 12
First-principles (PBE-GGA) data for a relaxed structure of Al4SiP, as listed in Alexandria.

a = 5.2399 Å, b = 5.2399 Å, c = 5.2399 Å
α = 60.00°, β = 60.00°, γ = 60.00°
Atoms (fractional coordinates):
Al  0.1252  0.1252  0.1252
Al  0.1252  0.1252  0.6245
Al  0.1252  0.6245  0.1252
Al  0.6245  0.1252  0.1252
Si  0.5000  0.5000  0.5000
P  0.7500  0.7500  0.7500

Its density of states at the Fermi level is 2.27 states/eV per cell. The value obtained for the uncorrected formation energy is 0.42 eV per atom. The total energy comes out at -23.26 eV/cell. The calculated density is 2.73 g/cm³. As for the crystal system: cubic. Its total magnetization is 0.000 μB per formula unit.

Record 13
First-principles (PBE-GGA) data for a relaxed structure of AlSiP, as listed in Alexandria.

a = 3.8799 Å, b = 3.8799 Å, c = 9.6964 Å
α = 90.00°, β = 90.00°, γ = 120.00°
Atoms (fractional coordinates):
Al  0.0000  0.0000  0.1344
Al  0.0000  0.0000  0.8656
Si  0.3333  0.6667  0.4599
Si  0.6667  0.3333  0.5401
P  0.3333  0.6667  0.2254
P  0.6667  0.3333  0.7746

The value obtained for the uncorrected formation energy is -0.27 eV per atom. The total energy comes out at -30.75 eV/cell. The value obtained for the energy relative to the lowest polymorph listed for this composition is 90.9 meV/atom. The calculated density is 2.26 g/cm³. As for the crystal system: trigonal. Its total magnetization is 0.000 μB per formula unit.

Record 14
First-principles (PBE-GGA) data for a relaxed structure of AlSiP, as listed in Alexandria.

a = 9.9597 Å, b = 9.9597 Å, c = 9.9597 Å
α = 22.43°, β = 22.43°, γ = 22.43°
Atoms (fractional coordinates):
Al  0.0000  0.0000  0.0000
Al  0.1364  0.1364  0.1364
Si  0.2210  0.2210  0.2210
Si  0.9150  0.9150  0.9150
P  0.3630  0.3630  0.3630
P  0.4401  0.4401  0.4401

The value obtained for the uncorrected formation energy is -0.23 eV per atom. The total energy comes out at -30.55 eV/cell. The value obtained for the energy relative to the lowest polymorph listed for this composition is 124.2 meV/atom. The calculated density is 2.27 g/cm³. As for the crystal system: trigonal. Its total magnetization is 0.000 μB per formula unit.